# 1
Computed, not measured: a relaxed SnGeSeBr2 crystal at the PBE level of DFT.

a = 5.5095 Å, b = 5.5095 Å, c = 5.4854 Å
α = 90.00°, β = 90.00°, γ = 90.00°
With the nearest neighbours (Å) after each atom.
Space group P4/mmm (No. 123)
One atom of each set of equivalent atoms:
Sn 0.0000 0.0000 0.0000 (multiplicity 1)  2 Se 2.74, 4 Br 2.75
Ge 0.5000 0.5000 0.5000 (multiplicity 1)  8 Br 3.89, 4 Se 3.90
Se 0.0000 0.0000 0.5000 (multiplicity 1)  2 Sn 2.74
Br 0.0000 0.5000 0.0000 (multiplicity 2)  2 Sn 2.75

Values from the calculation:
As for the polymorph energy (0 for the lowest one): 0.261 eV per atom. Its crystal system is tetragonal. The uncorrected energy comes out at -2.94 eV per atom. The calculation puts the raw formation energy at 0.146 eV/atom. The total magnetic moment is 0.6 μB per cell.

# 2
Computed, not measured: a relaxed Sr4GeSeBr2 crystal at the PBE level of DFT.

a = 7.9431 Å, b = 4.6088 Å, c = 7.9879 Å
α = 90.00°, β = 109.42°, γ = 90.00°
With the nearest neighbours (Å) after each atom.
Space group P2/m (No. 10)
One atom of each set of equivalent atoms:
Sr 0.2276 0.0000 0.2146 (multiplicity 2)  2 Ge 3.08, 1 Se 3.18, 1 Br 3.35
Sr 0.2497 0.5000 0.7865 (multiplicity 2)  1 Ge 3.02, 2 Se 3.15
Ge 0.0000 0.5000 0.0000 (multiplicity 1)  6 Sr 3.02-3.08
Se 0.5000 0.0000 0.0000 (multiplicity 1)  6 Sr 3.15-3.18
Br 0.0000 0.0000 0.5000 (multiplicity 1)  6 Sr 3.35-3.39
Br 0.5000 0.5000 0.5000 (multiplicity 1)  6 Sr 3.45-3.49

Values from the calculation:
Its crystal system is monoclinic. The uncorrected energy comes out at -3.78 eV per atom. The calculation puts the raw formation energy at -1.504 eV/atom. The total magnetic moment is 0.0 μB per cell.

# 3
Computed, not measured: a relaxed TaGeSe2Br crystal at the PBE level of DFT.

a = 5.0611 Å, b = 5.0611 Å, c = 5.0984 Å
α = 90.00°, β = 90.00°, γ = 90.00°
With the nearest neighbours (Å) after each atom.
Space group P4/mmm (No. 123)
One atom of each set of equivalent atoms:
Ta 0.0000 0.0000 0.0000 (multiplicity 1)  4 Se 2.53, 2 Br 2.55
Ge 0.5000 0.5000 0.5000 (multiplicity 1)  4 Br 3.58, 8 Se 3.59
Se 0.0000 0.5000 0.0000 (multiplicity 2)  2 Ta 2.53
Br 0.0000 0.0000 0.5000 (multiplicity 1)  2 Ta 2.55

Values from the calculation:
As for the polymorph energy (0 for the lowest one): 0.000 eV per atom. Its crystal system is tetragonal. The uncorrected energy comes out at -4.91 eV per atom. The calculation puts the raw formation energy at 0.115 eV/atom. The total magnetic moment is 0.9 μB per cell.

# 4
Computed, not measured: a relaxed TaGeSe2Br crystal at the PBE level of DFT.

a = 4.9165 Å, b = 4.9165 Å, c = 5.1433 Å
α = 90.00°, β = 90.00°, γ = 90.00°
With the nearest neighbours (Å) after each atom.
Space group P4/mmm (No. 123)
One atom of each set of equivalent atoms:
Ta 0.0000 0.0000 0.0000 (multiplicity 1)  2 Ge 2.57
Ge 0.0000 0.0000 0.5000 (multiplicity 1)  4 Se 2.46, 2 Ta 2.57
Se 0.0000 0.5000 0.5000 (multiplicity 2)  2 Ge 2.46
Br 0.5000 0.5000 0.0000 (multiplicity 1)  4 Ta 3.48, 8 Se 3.56

Values from the calculation:
As for the polymorph energy (0 for the lowest one): 0.827 eV per atom. Its crystal system is tetragonal. The uncorrected energy comes out at -4.08 eV per atom. The calculation puts the raw formation energy at 0.942 eV/atom. The total magnetic moment is 0.0 μB per cell.